A plane-wave DFT calculation with PBE was carried out for an optimized crystal structure of Tb2Ga8Rh.

Cell: 4.312 4.312 11.192 Å, 90.00 90.00 90.00°
Fractional positions:
Tb 0.000 0.000 0.192
Tb 0.000 0.000 0.808
Ga 0.000 0.500 0.000
Ga 0.000 0.500 0.379
Ga 0.000 0.500 0.621
Ga 0.500 0.000 0.000
Ga 0.500 0.000 0.379
Ga 0.500 0.000 0.621
Ga 0.500 0.500 0.193
Ga 0.500 0.500 0.807
Rh 0.000 0.000 0.500

DFT formation energy (eV/atom): -0.565
Total energy (eV/atom): -4.28

=====

A plane-wave DFT calculation with PBE was carried out for an optimized crystal structure of NiAgP2.

Cell: 5.413 5.413 10.372 Å, 90.00 90.00 90.00°
Fractional positions:
Ni 0.000 0.000 0.000
Ni 0.000 0.500 0.250
Ni 0.500 0.000 0.750
Ni 0.500 0.500 0.500
Ag 0.000 0.000 0.500
Ag 0.000 0.500 0.750
Ag 0.500 0.000 0.250
Ag 0.500 0.500 0.000
P 0.194 0.250 0.125
P 0.250 0.694 0.375
P 0.250 0.806 0.875
P 0.306 0.250 0.625
P 0.694 0.750 0.625
P 0.750 0.194 0.875
P 0.750 0.306 0.375
P 0.806 0.750 0.125

DFT formation energy (eV/atom): 0.186
Energy relative to the lowest polymorph listed for this composition (meV/atom): 264
Total energy (eV/atom): -4.68

=====

A plane-wave DFT calculation with PBE was carried out for an optimized crystal structure of NbCuTeP2.

Cell: 4.404 4.404 5.120 Å, 90.00 90.00 90.00°
Fractional positions:
Nb 0.000 0.000 0.000
Cu 0.500 0.500 0.500
Te 0.500 0.500 0.000
P 0.000 0.500 0.500
P 0.500 0.000 0.500

Uncorrected formation energy (eV/atom): 0.88
Total energy (eV/atom): -4.75

=====

A plane-wave DFT calculation with PBE was carried out for an optimized crystal structure of PrTh3In4.

Cell: 3.307 5.939 11.871 Å, 90.00 90.00 90.00°
Fractional positions:
Pr 0.000 0.000 0.000
Th 0.000 0.000 0.500
Th 0.000 0.500 0.250
Th 0.000 0.500 0.750
In 0.500 0.000 0.250
In 0.500 0.000 0.750
In 0.500 0.500 0.000
In 0.500 0.500 0.500

DFT formation energy (eV/atom): -0.290
Total energy (eV/atom): -5.04